[1]
Here is crystalline SrWCl at its relaxed geometry from the Alexandria database. Energies are from GGA-PBE.

Unit cell a=7.6539 b=7.6539 c=7.6539 alpha=90.00 beta=90.00 gamma=90.00
Space group F-43m (No. 216)
Inequivalent atoms, fractional coordinates:
Sr  0.0000  0.0000  0.0000
W  0.2500  0.2500  0.2500
Cl  0.2500  0.2500  0.7500

- ρ: 4.55 g/cm³
- Energy above the most stable polymorph in this dataset: 579 meV per atom
- DFT total energy: -52.1 eV/cell
- Raw formation energy: 1153 meV per atom

***

[2]
Here is crystalline Sr2WCl at its relaxed geometry from the Alexandria database. Energies are from GGA-PBE.

Unit cell a=5.6077 b=3.2849 c=12.0772 alpha=90.00 beta=90.00 gamma=90.00
Space group Amm2 (No. 38)
Inequivalent atoms, fractional coordinates:
Sr  0.0000  0.0000  0.0000
Sr  0.5000  0.0000  0.2535
W  0.0000  0.0000  0.7410
Cl  0.5000  0.0000  0.5098

- ρ: 5.89 g/cm³
- Energy above the most stable polymorph in this dataset: 240 meV per atom
- DFT total energy: -34.2 eV/cell
- Raw formation energy: 268 meV per atom

***

[3]
Here is crystalline SrWCl2 at its relaxed geometry from the Alexandria database. Energies are from GGA-PBE.

Unit cell a=3.2274 b=3.2714 c=19.1073 alpha=90.00 beta=90.00 gamma=90.00
Space group Imm2 (No. 44)
Inequivalent atoms, fractional coordinates:
Sr  0.0000  0.0000  0.0000
W  0.0000  0.5000  0.8535
Cl  0.0000  0.0000  0.5894
Cl  0.0000  0.5000  0.2877

- ρ: 5.64 g/cm³
- Energy above the most stable polymorph in this dataset: 93 meV per atom
- DFT total energy: -37.7 eV/cell
- Raw formation energy: -130 meV per atom

***

[4]
Here is crystalline SrWCl2 at its relaxed geometry from the Alexandria database. Energies are from GGA-PBE.

Unit cell a=15.5696 b=3.4376 c=4.7342 alpha=90.00 beta=92.63 gamma=90.00
Space group Cm (No. 8)
Inequivalent atoms, fractional coordinates:
Sr  0.0000  0.0000  0.0000
W  0.1927  0.5000  0.9994
Cl  0.3096  0.0000  0.9635
Cl  0.4786  0.0000  0.4957

- ρ: 4.49 g/cm³
- Energy above the most stable polymorph in this dataset: 224 meV per atom
- DFT total energy: -36.6 eV/cell
- Raw formation energy: 1 meV per atom

***

[5]
Here is crystalline Sr2WCl at its relaxed geometry from the Alexandria database. Energies are from GGA-PBE.

Unit cell a=3.2254 b=5.5178 c=11.7322 alpha=90.00 beta=90.00 gamma=90.00
Space group Imm2 (No. 44)
Inequivalent atoms, fractional coordinates:
Sr  0.0000  0.0000  0.0000
Sr  0.0000  0.5000  0.1915
W  0.0000  0.5000  0.7626
Cl  0.0000  0.0000  0.4538

- ρ: 6.28 g/cm³
- Energy above the most stable polymorph in this dataset: 361 meV per atom
- DFT total energy: -33.2 eV/cell
- Raw formation energy: 389 meV per atom

***

[6]
Here is crystalline SrW3Cl at its relaxed geometry from the Alexandria database. Energies are from GGA-PBE.

Unit cell a=4.9644 b=4.9644 c=4.9644 alpha=90.00 beta=90.00 gamma=90.00
Space group Pm-3m (No. 221)
Inequivalent atoms, fractional coordinates:
Sr  0.0000  0.0000  0.0000
W  0.0000  0.0000  0.5000
Cl  0.5000  0.5000  0.5000

- ρ: 9.16 g/cm³
- Energy above the most stable polymorph in this dataset: 2357 meV per atom
- DFT total energy: -22.5 eV/cell
- Raw formation energy: 3981 meV per atom

***

[7]
Here is crystalline SrW3Cl at its relaxed geometry from the Alexandria database. Energies are from GGA-PBE.

Unit cell a=4.6065 b=4.6065 c=4.6065 alpha=90.00 beta=90.00 gamma=90.00
Space group Pm-3m (No. 221)
Inequivalent atoms, fractional coordinates:
Sr  0.0000  0.0000  0.0000
W  0.0000  0.5000  0.5000
Cl  0.5000  0.5000  0.5000

- ρ: 11.46 g/cm³
- Energy above the most stable polymorph in this dataset: 0 meV per atom
- DFT total energy: -34.3 eV/cell
- Raw formation energy: 1624 meV per atom

***

[8]
Here is crystalline SrWCl2 at its relaxed geometry from the Alexandria database. Energies are from GGA-PBE.

Unit cell a=4.0993 b=4.0993 c=12.2069 alpha=90.00 beta=90.00 gamma=90.00
Space group I-4m2 (No. 119)
Inequivalent atoms, fractional coordinates:
Sr  0.0000  0.0000  0.0000
W  0.0000  0.5000  0.7500
Cl  0.0000  0.0000  0.5000
Cl  0.0000  0.5000  0.2500

- ρ: 5.54 g/cm³
- Energy above the most stable polymorph in this dataset: 369 meV per atom
- DFT total energy: -35.5 eV/cell
- Raw formation energy: 146 meV per atom

***

[9]
Here is crystalline SrY2Cl at its relaxed geometry from the Alexandria database. Energies are from GGA-PBE.

Unit cell a=3.7173 b=6.7635 c=5.4618 alpha=90.00 beta=90.52 gamma=90.00
Space group P2/m (No. 10)
Inequivalent atoms, fractional coordinates:
Sr  0.0000  0.0000  0.0000
Y  0.2742  0.5000  0.7585
Cl  0.5000  0.0000  0.5000

- ρ: 3.64 g/cm³
- Energy above the most stable polymorph in this dataset: 319 meV per atom
- DFT total energy: -17.8 eV/cell
- Raw formation energy: -335 meV per atom

***

[10]
Here is crystalline SrYCl at its relaxed geometry from the Alexandria database. Energies are from GGA-PBE.

Unit cell a=3.5865 b=3.5865 c=14.3982 alpha=90.00 beta=90.00 gamma=90.00
Space group I4mm (No. 107)
Inequivalent atoms, fractional coordinates:
Sr  0.0000  0.0000  0.0000
Y  0.0000  0.0000  0.6973
Cl  0.0000  0.0000  0.3436

- ρ: 3.80 g/cm³
- Energy above the most stable polymorph in this dataset: 182 meV per atom
- DFT total energy: -24.3 eV/cell
- Raw formation energy: -721 meV per atom

***

[11]
Here is crystalline SrY2Cl at its relaxed geometry from the Alexandria database. Energies are from GGA-PBE.

Unit cell a=6.1470 b=12.6531 c=3.6762 alpha=90.00 beta=90.00 gamma=90.00
Space group Cmmm (No. 65)
Inequivalent atoms, fractional coordinates:
Sr  0.0000  0.0000  0.0000
Y  0.2500  0.2500  0.5000
Cl  0.0000  0.5000  0.0000

- ρ: 3.49 g/cm³
- Energy above the most stable polymorph in this dataset: 546 meV per atom
- DFT total energy: -33.8 eV/cell
- Raw formation energy: -108 meV per atom

***

[12]
Here is crystalline SrY2Cl at its relaxed geometry from the Alexandria database. Energies are from GGA-PBE.

Unit cell a=6.4875 b=13.9509 c=3.7424 alpha=90.00 beta=124.88 gamma=90.00
Space group C2/m (No. 12)
Inequivalent atoms, fractional coordinates:
Sr  0.0000  0.0000  0.0000
Y  0.2500  0.2500  0.5000
Cl  0.0000  0.5000  0.0000

- ρ: 3.60 g/cm³
- Energy above the most stable polymorph in this dataset: 346 meV per atom
- DFT total energy: -35.4 eV/cell
- Raw formation energy: -309 meV per atom

***

[13]
Here is crystalline SrYCl3 at its relaxed geometry from the Alexandria database. Energies are from GGA-PBE.

Unit cell a=5.6197 b=5.6197 c=5.6197 alpha=90.00 beta=90.00 gamma=90.00
Space group Pm-3m (No. 221)
Inequivalent atoms, fractional coordinates:
Sr  0.0000  0.0000  0.0000
Y  0.5000  0.5000  0.5000
Cl  0.0000  0.0000  0.5000

- ρ: 2.65 g/cm³
- Energy above the most stable polymorph in this dataset: 256 meV per atom
- DFT total energy: -20.1 eV/cell
- Raw formation energy: -1284 meV per atom

***

[14]
Here is crystalline SrY2Cl at its relaxed geometry from the Alexandria database. Energies are from GGA-PBE.

Unit cell a=3.6501 b=3.7127 c=19.4450 alpha=90.00 beta=90.00 gamma=90.00
Space group Amm2 (No. 38)
Inequivalent atoms, fractional coordinates:
Sr  0.0000  0.0000  0.0000
Y  0.0000  0.0000  0.7255
Y  0.5000  0.0000  0.3470
Cl  0.5000  0.0000  0.6035

- ρ: 3.79 g/cm³
- Energy above the most stable polymorph in this dataset: 0 meV per atom
- DFT total energy: -38.2 eV/cell
- Raw formation energy: -655 meV per atom

***

[15]
Here is crystalline SrYCl5 at its relaxed geometry from the Alexandria database. Energies are from GGA-PBE.

Unit cell a=10.0524 b=10.3561 c=9.9757 alpha=90.00 beta=113.83 gamma=90.00
Space group C2/c (No. 15)
Inequivalent atoms, fractional coordinates:
Sr  0.0000  0.0786  0.2500
Y  0.2500  0.2500  0.0000
Cl  0.0000  0.2210  0.7500
Cl  0.0934  0.3057  0.1433
Cl  0.2013  0.0046  0.0416

- ρ: 2.47 g/cm³
- DFT total energy: -133.8 eV/cell
- Raw formation energy: -2297 meV per atom

***

[16]
Here is crystalline Sr2Y2Cl at its relaxed geometry from the Alexandria database. Energies are from GGA-PBE.

Unit cell a=4.5003 b=4.5003 c=19.5296 alpha=90.00 beta=90.00 gamma=90.00
Space group I4/mmm (No. 139)
Inequivalent atoms, fractional coordinates:
Sr  0.0000  0.5000  0.2500
Y  0.0000  0.0000  0.0911
Cl  0.0000  0.0000  0.5000

- ρ: 3.26 g/cm³
- Energy above the most stable polymorph in this dataset: 698 meV per atom
- DFT total energy: -32.3 eV/cell
- Raw formation energy: 401 meV per atom

***

[17]
Here is crystalline Sr3YCl at its relaxed geometry from the Alexandria database. Energies are from GGA-PBE.

Unit cell a=5.9324 b=5.9324 c=5.9324 alpha=90.00 beta=90.00 gamma=90.00
Space group Pm-3m (No. 221)
Inequivalent atoms, fractional coordinates:
Sr  0.0000  0.0000  0.5000
Y  0.5000  0.5000  0.5000
Cl  0.0000  0.0000  0.0000

- ρ: 3.08 g/cm³
- Energy above the most stable polymorph in this dataset: 0 meV per atom
- DFT total energy: -15.5 eV/cell
- Raw formation energy: -429 meV per atom

***

[18]
Here is crystalline SrY2Cl at its relaxed geometry from the Alexandria database. Energies are from GGA-PBE.

Unit cell a=3.7600 b=6.3041 c=10.8977 alpha=90.00 beta=90.00 gamma=90.00
Space group Cmmm (No. 65)
Inequivalent atoms, fractional coordinates:
Sr  0.0000  0.0000  0.0000
Y  0.0000  0.5000  0.2918
Cl  0.0000  0.0000  0.5000

- ρ: 3.87 g/cm³
- Energy above the most stable polymorph in this dataset: 232 meV per atom
- DFT total energy: -36.3 eV/cell
- Raw formation energy: -423 meV per atom

***

[19]
Here is crystalline SrY2Cl at its relaxed geometry from the Alexandria database. Energies are from GGA-PBE.

Unit cell a=3.6060 b=6.6592 c=11.3454 alpha=90.00 beta=90.00 gamma=90.00
Space group Imm2 (No. 44)
Inequivalent atoms, fractional coordinates:
Sr  0.0000  0.0000  0.0000
Y  0.0000  0.0000  0.5858
Y  0.0000  0.5000  0.8224
Cl  0.0000  0.5000  0.2804

- ρ: 3.67 g/cm³
- Energy above the most stable polymorph in this dataset: 251 meV per atom
- DFT total energy: -36.1 eV/cell
- Raw formation energy: -404 meV per atom

***

[20]
Here is crystalline SrY2Cl at its relaxed geometry from the Alexandria database. Energies are from GGA-PBE.

Unit cell a=3.6324 b=3.6324 c=9.8117 alpha=90.00 beta=90.00 gamma=90.00
Space group P4mm (No. 99)
Inequivalent atoms, fractional coordinates:
Sr  0.0000  0.0000  0.0000
Y  0.0000  0.0000  0.5470
Y  0.5000  0.5000  0.3060
Cl  0.5000  0.5000  0.7923

- ρ: 3.86 g/cm³
- Energy above the most stable polymorph in this dataset: 62 meV per atom
- DFT total energy: -18.8 eV/cell
- Raw formation energy: -593 meV per atom